# 1
Here is an optimized crystal structure of YHo2Te4 from Alexandria via LeMat-Bulk. Energies are from PBE.

Output
- Polymorph energy (0 for the lowest one): 44 meV/atom
- Raw formation energy: -1.3384 eV per atom

```
data_YHo2Te4
_cell_length_a 4.2314
_cell_length_b 7.4464
_cell_length_c 14.9123
_cell_angle_alpha 90.00
_cell_angle_beta 90.00
_cell_angle_gamma 106.51
_space_group_name_H-M_alt 'P 1'
_space_group_IT_number 1
loop_
_space_group_symop_operation_xyz
'x,y,z'
loop_
_atom_site_label
_atom_site_fract_x
_atom_site_fract_y
_atom_site_fract_z
Y1 0.6281 0.2561 0.7500
Te1 0.5000 0.0000 0.5000
Te2 0.0314 0.0629 0.2500
Y2 0.3719 0.7439 0.2500
Te3 0.2217 0.4434 0.6216
Ho1 0.1312 0.2625 0.0695
Te4 0.2217 0.4434 0.8784
Te5 0.7783 0.5566 0.1216
Ho2 0.8688 0.7375 0.5695
Te6 0.5000 0.0000 0.0000
Te7 0.9686 0.9371 0.7500
Ho3 0.8688 0.7375 0.9305
Te8 0.7783 0.5566 0.3784
Ho4 0.1312 0.2625 0.4305
```

***

# 2
Here is an optimized crystal structure of YHoTe3 from Alexandria via LeMat-Bulk. Energies are from PBE.

Output
- Polymorph energy (0 for the lowest one): 20 meV/atom
- Raw formation energy: -1.3493 eV per atom

```
data_YHoTe3
_cell_length_a 4.2130
_cell_length_b 7.3911
_cell_length_c 10.7918
_cell_angle_alpha 90.00
_cell_angle_beta 90.00
_cell_angle_gamma 106.56
_space_group_name_H-M_alt 'P 1'
_space_group_IT_number 1
loop_
_space_group_symop_operation_xyz
'x,y,z'
loop_
_atom_site_label
_atom_site_fract_x
_atom_site_fract_y
_atom_site_fract_z
Te1 0.3514 0.7028 0.5687
Te2 0.6486 0.2972 0.4313
Ho1 0.2456 0.4912 0.2500
Te3 0.6486 0.2972 0.0687
Y1 0.0000 0.0000 0.0000
Te4 0.0981 0.1962 0.7500
Te5 0.3514 0.7028 0.9313
Te6 0.9019 0.8038 0.2500
Y2 0.0000 0.0000 0.5000
Ho2 0.7544 0.5088 0.7500
```

***

# 3
Here is an optimized crystal structure of Ho2ZnTe4 from Alexandria via LeMat-Bulk. Energies are from PBE.

Output
- Raw formation energy: -0.8611 eV per atom

```
data_Ho2ZnTe4
_cell_length_a 6.7557
_cell_length_b 6.7557
_cell_length_c 7.8320
_cell_angle_alpha 115.55
_cell_angle_beta 115.55
_cell_angle_gamma 90.00
_space_group_name_H-M_alt 'P 1'
_space_group_IT_number 1
loop_
_space_group_symop_operation_xyz
'x,y,z'
loop_
_atom_site_label
_atom_site_fract_x
_atom_site_fract_y
_atom_site_fract_z
Te1 0.1456 0.1456 0.7787
Ho1 0.2500 0.7500 0.5000
Te2 0.6330 0.6330 0.7787
Zn1 0.5000 0.5000 0.0000
Te3 0.8544 0.3670 0.2213
Te4 0.3670 0.8544 0.2213
Ho2 0.7500 0.2500 0.5000
```

***

# 4
Here is an optimized crystal structure of Ho4ZnTe from Alexandria via LeMat-Bulk. Energies are from PBE.

Output
- Polymorph energy (0 for the lowest one): 0 meV/atom
- Raw formation energy: -0.5221 eV per atom

```
data_Ho4ZnTe
_cell_length_a 3.8947
_cell_length_b 8.3781
_cell_length_c 19.6817
_cell_angle_alpha 90.00
_cell_angle_beta 90.00
_cell_angle_gamma 90.00
_space_group_name_H-M_alt 'P 1'
_space_group_IT_number 1
loop_
_space_group_symop_operation_xyz
'x,y,z'
loop_
_atom_site_label
_atom_site_fract_x
_atom_site_fract_y
_atom_site_fract_z
Te1 0.2500 0.2858 0.1866
Ho1 0.2500 0.0127 0.7820
Ho2 0.2500 0.5222 0.4288
Te2 0.7500 0.7142 0.8134
Zn1 0.2500 0.2552 0.9547
Ho3 0.2500 0.1213 0.5598
Ho4 0.7500 0.3346 0.8462
Zn2 0.2500 0.7552 0.5453
Ho5 0.7500 0.8787 0.4402
Ho6 0.7500 0.9873 0.2180
Te3 0.2500 0.7858 0.3134
Zn3 0.7500 0.2448 0.4547
Ho7 0.2500 0.0222 0.0712
Ho8 0.7500 0.4778 0.5712
Ho9 0.7500 0.3787 0.0598
Ho10 0.2500 0.6654 0.1538
Ho11 0.2500 0.1654 0.3462
Ho12 0.2500 0.5127 0.7180
Ho13 0.7500 0.4873 0.2820
Ho14 0.7500 0.8346 0.6538
Ho15 0.2500 0.6213 0.9402
Ho16 0.7500 0.9778 0.9288
Te4 0.7500 0.2142 0.6866
Zn4 0.7500 0.7448 0.0453
```

***

# 5
Here is an optimized crystal structure of HoZnTe from Alexandria via LeMat-Bulk. Energies are from PBE.

Output
- Raw formation energy: -0.8182 eV per atom

```
data_HoZnTe
_cell_length_a 4.5655
_cell_length_b 4.5679
_cell_length_c 11.7165
_cell_angle_alpha 60.57
_cell_angle_beta 78.77
_cell_angle_gamma 60.02
_space_group_name_H-M_alt 'P 1'
_space_group_IT_number 1
loop_
_space_group_symop_operation_xyz
'x,y,z'
loop_
_atom_site_label
_atom_site_fract_x
_atom_site_fract_y
_atom_site_fract_z
Te1 0.2793 0.2534 0.1880
Te2 0.7207 0.7466 0.8120
Ho1 0.9706 0.7310 0.3278
Zn1 0.3311 0.8504 0.4874
Ho2 0.0294 0.2690 0.6722
Zn2 0.6689 0.1496 0.5126
```

***

# 6
Here is an optimized crystal structure of HoZnTe3 from Alexandria via LeMat-Bulk. Energies are from PBE.

Output
- Raw formation energy: -0.7105 eV per atom

```
data_HoZnTe3
_cell_length_a 4.1152
_cell_length_b 7.8872
_cell_length_c 9.6872
_cell_angle_alpha 90.00
_cell_angle_beta 90.00
_cell_angle_gamma 105.13
_space_group_name_H-M_alt 'P 1'
_space_group_IT_number 1
loop_
_space_group_symop_operation_xyz
'x,y,z'
loop_
_atom_site_label
_atom_site_fract_x
_atom_site_fract_y
_atom_site_fract_z
Te1 0.1590 0.8183 0.9332
Ho1 0.2361 0.9724 0.2500
Zn1 0.9703 0.4416 0.2500
Te2 0.8410 0.1817 0.0668
Te3 0.8410 0.1817 0.4332
Te4 0.4185 0.3363 0.7500
Ho2 0.7639 0.0276 0.7500
Te5 0.5815 0.6637 0.2500
Te6 0.1590 0.8183 0.5668
Zn2 0.0297 0.5584 0.7500
```

***

# 7
Here is an optimized crystal structure of Ho4ZnTe from Alexandria via LeMat-Bulk. Energies are from PBE.

Output
- Polymorph energy (0 for the lowest one): 237 meV/atom
- Raw formation energy: -0.2853 eV per atom

```
data_Ho4ZnTe
_cell_length_a 5.8543
_cell_length_b 7.6578
_cell_length_c 8.4227
_cell_angle_alpha 90.00
_cell_angle_beta 90.00
_cell_angle_gamma 105.16
_space_group_name_H-M_alt 'P 1'
_space_group_IT_number 1
loop_
_space_group_symop_operation_xyz
'x,y,z'
loop_
_atom_site_label
_atom_site_fract_x
_atom_site_fract_y
_atom_site_fract_z
Ho1 0.5878 0.4970 0.7500
Ho2 0.0189 0.7360 0.0526
Zn1 0.1465 0.5875 0.7500
Ho3 0.9811 0.2640 0.9474
Zn2 0.8535 0.4125 0.2500
Te1 0.1080 0.0874 0.2500
Ho4 0.4280 0.0037 0.7500
Ho5 0.5720 0.9963 0.2500
Te2 0.8920 0.9126 0.7500
Ho6 0.4122 0.5030 0.2500
Ho7 0.0189 0.7360 0.4474
Ho8 0.9811 0.2640 0.5526
```

***

# 8
Here is an optimized crystal structure of Ho3ZnTe2 from Alexandria via LeMat-Bulk. Energies are from PBE.

Output
- Polymorph energy (0 for the lowest one): 139 meV/atom
- Raw formation energy: -0.7939 eV per atom

```
data_Ho3ZnTe2
_cell_length_a 4.3256
_cell_length_b 6.0180
_cell_length_c 7.7866
_cell_angle_alpha 112.73
_cell_angle_beta 90.00
_cell_angle_gamma 90.00
_space_group_name_H-M_alt 'P 1'
_space_group_IT_number 1
loop_
_space_group_symop_operation_xyz
'x,y,z'
loop_
_atom_site_label
_atom_site_fract_x
_atom_site_fract_y
_atom_site_fract_z
Te1 0.5000 0.3451 0.6901
Ho1 0.5000 0.8694 0.7389
Ho2 0.5000 0.1306 0.2611
Ho3 0.0000 0.5000 0.0000
Te2 0.5000 0.6549 0.3099
Zn1 0.0000 0.0000 0.0000
```

***

no.,final energy (eV/atom)
1,-5.365
2,-5.443
3,-4.146
4,-4.310
5,-3.816
6,-3.766
7,-4.073
8,-4.342